*P*
# PBE ReAsIrBr2, optimized geometry
data_ReAsIrBr2
_cell_length_a 5.036
_cell_length_b 5.036
_cell_length_c 4.797
_cell_angle_alpha 90.00
_cell_angle_beta 90.00
_cell_angle_gamma 90.00
_symmetry_space_group_name_H-M 'P 4/m m m'
_symmetry_Int_Tables_number 123
_symmetry_space_group_name_Hall '-P 4 2'
loop_
_atom_site_label
_atom_site_fract_x
_atom_site_fract_y
_atom_site_fract_z
Re1 0.000 0.000 0.000
As1 0.000 0.000 0.500
Ir1 0.500 0.500 0.500
Br1 0.000 0.500 0.000
# M_tot	1.190	Bohr magnetons per cell

---

*Q*
# PBE ReAsIrBr2, optimized geometry
data_ReAsIrBr2
_cell_length_a 5.247
_cell_length_b 5.247
_cell_length_c 4.700
_cell_angle_alpha 90.00
_cell_angle_beta 90.00
_cell_angle_gamma 90.00
_symmetry_space_group_name_H-M 'P 4/m m m'
_symmetry_Int_Tables_number 123
_symmetry_space_group_name_Hall '-P 4 2'
loop_
_atom_site_label
_atom_site_fract_x
_atom_site_fract_y
_atom_site_fract_z
Re1 0.000 0.000 0.000
As1 0.500 0.500 0.000
Ir1 0.500 0.500 0.500
Br1 0.000 0.500 0.500
# M_tot	5.063	Bohr magnetons per cell

---

Which of them is least stable? Easy: *P*.

---

*P*
# PBE AsIrRuBr2, optimized geometry
data_AsIrRuBr2
_cell_length_a 5.035
_cell_length_b 5.035
_cell_length_c 4.654
_cell_angle_alpha 90.00
_cell_angle_beta 90.00
_cell_angle_gamma 90.00
_symmetry_space_group_name_H-M 'P 4/m m m'
_symmetry_Int_Tables_number 123
_symmetry_space_group_name_Hall '-P 4 2'
loop_
_atom_site_label
_atom_site_fract_x
_atom_site_fract_y
_atom_site_fract_z
As1 0.000 0.000 0.000
Ir1 0.500 0.500 0.000
Ru1 0.000 0.000 0.500
Br1 0.000 0.500 0.500
# M_tot	1.999	Bohr magnetons per cell

---

*Q*
# PBE AsIrRuBr2, optimized geometry
data_AsIrRuBr2
_cell_length_a 5.296
_cell_length_b 5.296
_cell_length_c 4.598
_cell_angle_alpha 90.00
_cell_angle_beta 90.00
_cell_angle_gamma 90.00
_symmetry_space_group_name_H-M 'P 4/m m m'
_symmetry_Int_Tables_number 123
_symmetry_space_group_name_Hall '-P 4 2'
loop_
_atom_site_label
_atom_site_fract_x
_atom_site_fract_y
_atom_site_fract_z
As1 0.000 0.000 0.000
Ir1 0.000 0.000 0.500
Ru1 0.500 0.500 0.000
Br1 0.000 0.500 0.500
# M_tot	3.018	Bohr magnetons per cell

---

Which of them is least stable? Easy: *P*.

---

*P*
# PBE SbAsIrBr2, optimized geometry
data_SbAsIrBr2
_cell_length_a 5.139
_cell_length_b 5.139
_cell_length_c 4.777
_cell_angle_alpha 90.00
_cell_angle_beta 90.00
_cell_angle_gamma 90.00
_symmetry_space_group_name_H-M 'P 4/m m m'
_symmetry_Int_Tables_number 123
_symmetry_space_group_name_Hall '-P 4 2'
loop_
_atom_site_label
_atom_site_fract_x
_atom_site_fract_y
_atom_site_fract_z
Sb1 0.000 0.000 0.000
As1 0.500 0.500 0.000
Ir1 0.500 0.500 0.500
Br1 0.000 0.500 0.500
# M_tot	0.000	Bohr magnetons per cell

---

*Q*
# PBE SbAsIrBr2, optimized geometry
data_SbAsIrBr2
_cell_length_a 4.941
_cell_length_b 4.941
_cell_length_c 5.926
_cell_angle_alpha 90.00
_cell_angle_beta 90.00
_cell_angle_gamma 90.00
_symmetry_space_group_name_H-M 'P 4/m m m'
_symmetry_Int_Tables_number 123
_symmetry_space_group_name_Hall '-P 4 2'
loop_
_atom_site_label
_atom_site_fract_x
_atom_site_fract_y
_atom_site_fract_z
Sb1 0.000 0.000 0.000
As1 0.000 0.000 0.500
Ir1 0.500 0.500 0.000
Br1 0.000 0.500 0.500
# M_tot	1.368	Bohr magnetons per cell

---

Which of them is least stable? Easy: *Q*.

---

*P*
# PBE ScAs2IrBr, optimized geometry
data_ScAs2IrBr
_cell_length_a 5.116
_cell_length_b 5.116
_cell_length_c 4.930
_cell_angle_alpha 90.00
_cell_angle_beta 90.00
_cell_angle_gamma 90.00
_symmetry_space_group_name_H-M 'P 4/m m m'
_symmetry_Int_Tables_number 123
_symmetry_space_group_name_Hall '-P 4 2'
loop_
_atom_site_label
_atom_site_fract_x
_atom_site_fract_y
_atom_site_fract_z
Sc1 0.000 0.000 0.000
As1 0.000 0.500 0.000
Ir1 0.500 0.500 0.500
Br1 0.000 0.000 0.500
# M_tot	1.060	Bohr magnetons per cell

---

*Q*
# PBE ScAs2IrBr, optimized geometry
data_ScAs2IrBr
_cell_length_a 4.787
_cell_length_b 4.787
_cell_length_c 5.246
_cell_angle_alpha 90.00
_cell_angle_beta 90.00
_cell_angle_gamma 90.00
_symmetry_space_group_name_H-M 'P 4/m m m'
_symmetry_Int_Tables_number 123
_symmetry_space_group_name_Hall '-P 4 2'
loop_
_atom_site_label
_atom_site_fract_x
_atom_site_fract_y
_atom_site_fract_z
Sc1 0.000 0.000 0.000
As1 0.000 0.500 0.500
Ir1 0.500 0.500 0.500
Br1 0.500 0.500 0.000
# M_tot	0.053	Bohr magnetons per cell

---

Which of them is least stable? Easy: *P*.

---

*P*
# PBE AsIrSe2Br, optimized geometry
data_AsIrSe2Br
_cell_length_a 4.960
_cell_length_b 4.960
_cell_length_c 5.039
_cell_angle_alpha 90.00
_cell_angle_beta 90.00
_cell_angle_gamma 90.00
_symmetry_space_group_name_H-M 'P 4/m m m'
_symmetry_Int_Tables_number 123
_symmetry_space_group_name_Hall '-P 4 2'
loop_
_atom_site_label
_atom_site_fract_x
_atom_site_fract_y
_atom_site_fract_z
As1 0.000 0.000 0.000
Ir1 0.500 0.500 0.000
Se1 0.000 0.500 0.500
Br1 0.000 0.000 0.500
# M_tot	1.227	Bohr magnetons per cell

---

*Q*
# PBE AsIrSe2Br, optimized geometry
data_AsIrSe2Br
_cell_length_a 4.901
_cell_length_b 4.901
_cell_length_c 4.978
_cell_angle_alpha 90.00
_cell_angle_beta 90.00
_cell_angle_gamma 90.00
_symmetry_space_group_name_H-M 'P 4/m m m'
_symmetry_Int_Tables_number 123
_symmetry_space_group_name_Hall '-P 4 2'
loop_
_atom_site_label
_atom_site_fract_x
_atom_site_fract_y
_atom_site_fract_z
As1 0.000 0.000 0.000
Ir1 0.500 0.500 0.500
Se1 0.000 0.500 0.500
Br1 0.500 0.500 0.000
# M_tot	0.000	Bohr magnetons per cell

---

Which of them is least stable? Easy: *P*.

---

*P*
# PBE TaAsIrBr2, optimized geometry
data_TaAsIrBr2
_cell_length_a 4.952
_cell_length_b 4.952
_cell_length_c 5.231
_cell_angle_alpha 90.00
_cell_angle_beta 90.00
_cell_angle_gamma 90.00
_symmetry_space_group_name_H-M 'P 4/m m m'
_symmetry_Int_Tables_number 123
_symmetry_space_group_name_Hall '-P 4 2'
loop_
_atom_site_label
_atom_site_fract_x
_atom_site_fract_y
_atom_site_fract_z
Ta1 0.000 0.000 0.000
As1 0.000 0.000 0.500
Ir1 0.500 0.500 0.500
Br1 0.000 0.500 0.000
# M_tot	2.014	Bohr magnetons per cell

---

*Q*
# PBE TaAsIrBr2, optimized geometry
data_TaAsIrBr2
_cell_length_a 5.089
_cell_length_b 5.089
_cell_length_c 4.727
_cell_angle_alpha 90.00
_cell_angle_beta 90.00
_cell_angle_gamma 90.00
_symmetry_space_group_name_H-M 'P 4/m m m'
_symmetry_Int_Tables_number 123
_symmetry_space_group_name_Hall '-P 4 2'
loop_
_atom_site_label
_atom_site_fract_x
_atom_site_fract_y
_atom_site_fract_z
Ta1 0.000 0.000 0.000
As1 0.500 0.500 0.000
Ir1 0.500 0.500 0.500
Br1 0.000 0.500 0.500
# M_tot	2.805	Bohr magnetons per cell

---

Which of them is least stable? Easy: *Q*.

---

*P*
# PBE TcAsIrBr2, optimized geometry
data_TcAsIrBr2
_cell_length_a 5.247
_cell_length_b 5.247
_cell_length_c 4.674
_cell_angle_alpha 90.00
_cell_angle_beta 90.00
_cell_angle_gamma 90.00
_symmetry_space_group_name_H-M 'P 4/m m m'
_symmetry_Int_Tables_number 123
_symmetry_space_group_name_Hall '-P 4 2'
loop_
_atom_site_label
_atom_site_fract_x
_atom_site_fract_y
_atom_site_fract_z
Tc1 0.000 0.000 0.000
As1 0.500 0.500 0.000
Ir1 0.500 0.500 0.500
Br1 0.000 0.500 0.500
# M_tot	4.406	Bohr magnetons per cell

---

*Q*
# PBE TcAsIrBr2, optimized geometry
data_TcAsIrBr2
_cell_length_a 5.028
_cell_length_b 5.028
_cell_length_c 4.775
_cell_angle_alpha 90.00
_cell_angle_beta 90.00
_cell_angle_gamma 90.00
_symmetry_space_group_name_H-M 'P 4/m m m'
_symmetry_Int_Tables_number 123
_symmetry_space_group_name_Hall '-P 4 2'
loop_
_atom_site_label
_atom_site_fract_x
_atom_site_fract_y
_atom_site_fract_z
Tc1 0.000 0.000 0.000
As1 0.000 0.000 0.500
Ir1 0.500 0.500 0.500
Br1 0.000 0.500 0.000
# M_tot	1.079	Bohr magnetons per cell

---

Which of them is least stable? Easy: *Q*.

---

*P*
# PBE TiAsIrBr2, optimized geometry
data_TiAsIrBr2
_cell_length_a 5.304
_cell_length_b 5.304
_cell_length_c 4.621
_cell_angle_alpha 90.00
_cell_angle_beta 90.00
_cell_angle_gamma 90.00
_symmetry_space_group_name_H-M 'P 4/m m m'
_symmetry_Int_Tables_number 123
_symmetry_space_group_name_Hall '-P 4 2'
loop_
_atom_site_label
_atom_site_fract_x
_atom_site_fract_y
_atom_site_fract_z
Ti1 0.000 0.000 0.000
As1 0.500 0.500 0.000
Ir1 0.500 0.500 0.500
Br1 0.000 0.500 0.500
# M_tot	2.562	Bohr magnetons per cell

---

*Q*
# PBE TiAsIrBr2, optimized geometry
data_TiAsIrBr2
_cell_length_a 4.837
_cell_length_b 4.837
_cell_length_c 5.248
_cell_angle_alpha 90.00
_cell_angle_beta 90.00
_cell_angle_gamma 90.00
_symmetry_space_group_name_H-M 'P 4/m m m'
_symmetry_Int_Tables_number 123
_symmetry_space_group_name_Hall '-P 4 2'
loop_
_atom_site_label
_atom_site_fract_x
_atom_site_fract_y
_atom_site_fract_z
Ti1 0.000 0.000 0.000
As1 0.000 0.000 0.500
Ir1 0.500 0.500 0.500
Br1 0.000 0.500 0.000
# M_tot	2.468	Bohr magnetons per cell

---

Which of them is least stable? Easy: *Q*.

---

*P*
# PBE VAs2IrBr, optimized geometry
data_VAs2IrBr
_cell_length_a 4.732
_cell_length_b 4.732
_cell_length_c 5.431
_cell_angle_alpha 90.00
_cell_angle_beta 90.00
_cell_angle_gamma 90.00
_symmetry_space_group_name_H-M 'P 4/m m m'
_symmetry_Int_Tables_number 123
_symmetry_space_group_name_Hall '-P 4 2'
loop_
_atom_site_label
_atom_site_fract_x
_atom_site_fract_y
_atom_site_fract_z
V1 0.000 0.000 0.000
As1 0.000 0.500 0.500
Ir1 0.500 0.500 0.500
Br1 0.500 0.500 0.000
# M_tot	3.496	Bohr magnetons per cell

---

*Q*
# PBE VAs2IrBr, optimized geometry
data_VAs2IrBr
_cell_length_a 4.765
_cell_length_b 4.765
_cell_length_c 4.706
_cell_angle_alpha 90.00
_cell_angle_beta 90.00
_cell_angle_gamma 90.00
_symmetry_space_group_name_H-M 'P 4/m m m'
_symmetry_Int_Tables_number 123
_symmetry_space_group_name_Hall '-P 4 2'
loop_
_atom_site_label
_atom_site_fract_x
_atom_site_fract_y
_atom_site_fract_z
V1 0.000 0.000 0.000
As1 0.000 0.500 0.000
Ir1 0.500 0.500 0.500
Br1 0.000 0.000 0.500
# M_tot	2.291	Bohr magnetons per cell

---

Which of them is least stable? Easy: *Q*.

---

*P*
# PBE AsIrWBr2, optimized geometry
data_AsIrWBr2
_cell_length_a 4.924
_cell_length_b 4.924
_cell_length_c 5.032
_cell_angle_alpha 90.00
_cell_angle_beta 90.00
_cell_angle_gamma 90.00
_symmetry_space_group_name_H-M 'P 4/m m m'
_symmetry_Int_Tables_number 123
_symmetry_space_group_name_Hall '-P 4 2'
loop_
_atom_site_label
_atom_site_fract_x
_atom_site_fract_y
_atom_site_fract_z
As1 0.000 0.000 0.000
Ir1 0.500 0.500 0.000
W1 0.000 0.000 0.500
Br1 0.000 0.500 0.500
# M_tot	1.770	Bohr magnetons per cell

---

*Q*
# PBE AsIrWBr2, optimized geometry
data_AsIrWBr2
_cell_length_a 5.220
_cell_length_b 5.220
_cell_length_c 4.666
_cell_angle_alpha 90.00
_cell_angle_beta 90.00
_cell_angle_gamma 90.00
_symmetry_space_group_name_H-M 'P 4/m m m'
_symmetry_Int_Tables_number 123
_symmetry_space_group_name_Hall '-P 4 2'
loop_
_atom_site_label
_atom_site_fract_x
_atom_site_fract_y
_atom_site_fract_z
As1 0.000 0.000 0.000
Ir1 0.000 0.000 0.500
W1 0.500 0.500 0.000
Br1 0.000 0.500 0.500
# M_tot	4.554	Bohr magnetons per cell

---

Which of them is least stable? Easy: *P*.

---

*P*
# PBE ZnAs2IrBr, optimized geometry
data_ZnAs2IrBr
_cell_length_a 4.780
_cell_length_b 4.780
_cell_length_c 5.478
_cell_angle_alpha 90.00
_cell_angle_beta 90.00
_cell_angle_gamma 90.00
_symmetry_space_group_name_H-M 'P 4/m m m'
_symmetry_Int_Tables_number 123
_symmetry_space_group_name_Hall '-P 4 2'
loop_
_atom_site_label
_atom_site_fract_x
_atom_site_fract_y
_atom_site_fract_z
Zn1 0.000 0.000 0.000
As1 0.000 0.500 0.500
Ir1 0.500 0.500 0.500
Br1 0.500 0.500 0.000
# M_tot	0.000	Bohr magnetons per cell

---

*Q*
# PBE ZnAs2IrBr, optimized geometry
data_ZnAs2IrBr
_cell_length_a 4.706
_cell_length_b 4.706
_cell_length_c 4.935
_cell_angle_alpha 90.00
_cell_angle_beta 90.00
_cell_angle_gamma 90.00
_symmetry_space_group_name_H-M 'P 4/m m m'
_symmetry_Int_Tables_number 123
_symmetry_space_group_name_Hall '-P 4 2'
loop_
_atom_site_label
_atom_site_fract_x
_atom_site_fract_y
_atom_site_fract_z
Zn1 0.000 0.000 0.000
As1 0.000 0.500 0.000
Ir1 0.500 0.500 0.500
Br1 0.000 0.000 0.500
# M_tot	0.436	Bohr magnetons per cell

---

Which of them is least stable? Easy: *Q*.

---

*P*
# PBE ZrAs2IrBr, optimized geometry
data_ZrAs2IrBr
_cell_length_a 4.941
_cell_length_b 4.941
_cell_length_c 4.645
_cell_angle_alpha 90.00
_cell_angle_beta 90.00
_cell_angle_gamma 90.00
_symmetry_space_group_name_H-M 'P 4/m m m'
_symmetry_Int_Tables_number 123
_symmetry_space_group_name_Hall '-P 4 2'
loop_
_atom_site_label
_atom_site_fract_x
_atom_site_fract_y
_atom_site_fract_z
Zr1 0.000 0.000 0.000
As1 0.000 0.500 0.500
Ir1 0.500 0.500 0.000
Br1 0.500 0.500 0.500
# M_tot	0.000	Bohr magnetons per cell

---

*Q*
# PBE ZrAs2IrBr, optimized geometry
data_ZrAs2IrBr
_cell_length_a 5.213
_cell_length_b 5.213
_cell_length_c 5.078
_cell_angle_alpha 90.00
_cell_angle_beta 90.00
_cell_angle_gamma 90.00
_symmetry_space_group_name_H-M 'P 4/m m m'
_symmetry_Int_Tables_number 123
_symmetry_space_group_name_Hall '-P 4 2'
loop_
_atom_site_label
_atom_site_fract_x
_atom_site_fract_y
_atom_site_fract_z
Zr1 0.000 0.000 0.000
As1 0.000 0.500 0.000
Ir1 0.500 0.500 0.500
Br1 0.000 0.000 0.500
# M_tot	2.144	Bohr magnetons per cell

---

Which of them is least stable? Easy: *P*.

---

*P*
# PBE KAs2Br, optimized geometry
data_KAs2Br
_cell_length_a 7.227
_cell_length_b 7.227
_cell_length_c 6.078
_cell_angle_alpha 90.00
_cell_angle_beta 90.00
_cell_angle_gamma 90.00
_symmetry_space_group_name_H-M 'P 4/m m m'
_symmetry_Int_Tables_number 123
_symmetry_space_group_name_Hall '-P 4 2'
loop_
_atom_site_label
_atom_site_fract_x
_atom_site_fract_y
_atom_site_fract_z
K1 0.000 0.000 0.000
As1 0.500 0.500 0.326
Br1 0.000 0.000 0.500
# M_tot	0.135	Bohr magnetons per cell

---

*Q*
# PBE KAs2Br, optimized geometry
data_KAs2Br
_cell_length_a 10.145
_cell_length_b 10.145
_cell_length_c 5.403
_cell_angle_alpha 90.00
_cell_angle_beta 90.00
_cell_angle_gamma 90.00
_symmetry_space_group_name_H-M 'I -4 2 d'
_symmetry_Int_Tables_number 122
_symmetry_space_group_name_Hall 'I -4 2bw'
loop_
_atom_site_label
_atom_site_fract_x
_atom_site_fract_y
_atom_site_fract_z
K1 0.000 0.000 0.000
As1 0.235 0.250 0.625
Br1 0.000 0.000 0.500
# M_tot	0.000	Bohr magnetons per cell

---

Which of them is least stable? Easy: *Q*.